Entry 1:
CrCdAg | GGA-PBEsol | optimized geometry

## Properties
polymorph energy (0 for the lowest one)	0	meV per atom
space group	I4mm (107)
crystal system	tetragonal

Geometry as POSCAR:
```
CrCdAg
1.0
-2.382 -1.137 2.080
-1.666 -1.295 -2.615
4.298 -2.674 0.746
Cr Cd Ag
1 1 1
Direct
0.337 0.337 0.674
0.668 0.668 0.336
0.995 0.995 0.990
```



Entry 2:
Tm4Zr3O12 | GGA-PBEsol | optimized geometry

## Properties
space group	P-1 (2)
uncorrected formation energy	-3637	meV/atom
crystal system	triclinic

Geometry as POSCAR:
```
Tm4Zr3O12
1.0
6.272 -0.006 0.004
-1.030 6.243 -0.009
-2.043 -2.387 12.175
Zr O Tm
6 24 8
Direct
0.993 0.994 0.248
0.854 0.677 0.946
0.146 0.323 0.054
0.390 0.857 0.595
0.007 0.006 0.752
0.610 0.143 0.405
0.434 0.171 0.538
0.174 0.577 0.966
0.927 0.680 0.279
0.037 0.898 0.088
0.589 0.432 0.841
0.566 0.829 0.462
0.925 0.690 0.790
0.075 0.310 0.210
0.411 0.568 0.159
0.073 0.320 0.721
0.826 0.423 0.034
0.585 0.820 0.962
0.572 0.419 0.342
0.682 0.041 0.706
0.184 0.591 0.470
0.073 0.924 0.592
0.415 0.180 0.038
0.428 0.581 0.658
0.322 0.941 0.784
0.318 0.959 0.294
0.678 0.059 0.216
0.816 0.409 0.530
0.963 0.102 0.912
0.927 0.076 0.408
0.299 0.612 0.319
0.142 0.308 0.554
0.858 0.692 0.446
0.311 0.610 0.818
0.701 0.388 0.681
0.689 0.390 0.182
0.388 0.865 0.097
0.612 0.135 0.903
```



Entry 3:
MgAsAuBr2 | GGA-PBEsol | optimized geometry

## Properties
space group	P4/mmm (123)
uncorrected formation energy	220	meV/atom
crystal system	tetragonal

Geometry as POSCAR:
```
MgAsAuBr2
1.0
-0.528 -2.274 4.572
5.142 -0.322 0.433
0.095 4.624 2.311
Au As Br Mg
1 1 2 1
Direct
0.000 0.000 0.000
0.500 0.000 0.000
0.000 0.000 0.500
0.000 0.500 0.000
0.500 0.500 0.500
```



Entry 4:
V3HIr | GGA-PBEsol | optimized geometry

## Properties
calculated total energy	-8.674	eV per atom
space group	Pm-3m (221)
crystal system	cubic

Geometry as POSCAR:
```
V3HIr
1.0
-2.839 0.543 -2.468
2.341 -0.832 -2.876
-0.952 -3.668 0.287
V Ir H
3 1 1
Direct
0.500 0.000 0.000
0.000 0.000 0.500
0.000 0.500 0.000
0.500 0.500 0.500
0.000 0.000 0.000
```



Entry 5:
CaLa2Hg | GGA-PBEsol | optimized geometry

## Properties
calculated total energy	-3.602	eV per atom
space group	Immm (71)
crystal system	orthorhombic

Geometry as POSCAR:
```
CaLa2Hg
1.0
3.661 0.000 0.000
0.000 5.452 0.000
-1.830 -2.726 6.274
Hg Ca La
1 1 2
Direct
0.000 0.500 0.000
0.500 0.000 0.000
0.712 0.712 0.424
0.288 0.288 0.576
```



Entry 6:
TlBiS2 | GGA-PBEsol | optimized geometry

## Properties
space group	R-3m (166)
uncorrected formation energy	-423	meV/atom
crystal system	trigonal

Geometry as POSCAR:
```
TlBiS2
1.0
4.079 0.000 0.000
2.039 3.532 0.000
2.039 1.177 7.223
S Tl Bi
2 1 1
Direct
0.739 0.739 0.783
0.261 0.261 0.217
0.500 0.500 0.500
0.000 0.000 0.000
```